[1]
The following is a GGA-PBE calculation of a relaxed structure of Li5TlCd, from Alexandria.

Results
offset from the most stable computed form: 19 meV per atom
energy: -1.95 eV per atom
energy relative to the elements: -0.110 eV/atom
SG: No. 123
theoretical density: 4.036 g/cm3

Cell: 4.8351 4.8351 6.1858 Å, 90.00 90.00 90.00°
Last column: nearest neighbours and their distance in Å.
Sites, in units of the cell vectors:
Li 0.0000 0.0000 0.0000  8 Li 2.89, 2 Cd 3.09
Li 0.0000 0.5000 0.2566  2 Cd 2.85, 2 Tl 2.89, 4 Li 2.89-3.17
Li 0.0000 0.5000 0.7434  2 Cd 2.85, 2 Tl 2.89, 4 Li 2.89-3.17
Li 0.5000 0.0000 0.2566  2 Cd 2.85, 2 Tl 2.89, 4 Li 2.89-3.17
Li 0.5000 0.0000 0.7434  2 Cd 2.85, 2 Tl 2.89, 4 Li 2.89-3.17
Tl 0.5000 0.5000 0.0000  8 Li 2.89
Cd 0.0000 0.0000 0.5000  10 Li 2.85-3.09

[2]
The following is a GGA-PBE calculation of a relaxed structure of CrP2Au, from Alexandria.

Results
offset from the most stable computed form: 102 meV per atom
energy: -5.81 eV per atom
energy relative to the elements: 0.115 eV/atom
SG: No. 123
theoretical density: 8.668 g/cm3

Cell: 2.9025 2.9025 7.0697 Å, 90.00 90.00 90.00°
Last column: nearest neighbours and their distance in Å.
Sites, in units of the cell vectors:
Cr 0.0000 0.0000 0.0000  8 P 2.42
P 0.5000 0.5000 0.1815  4 Cr 2.42, 1 P 2.57
P 0.5000 0.5000 0.8185  4 Cr 2.42, 1 P 2.57
Au 0.0000 0.0000 0.5000  4 Au 2.90, 8 P 3.05

[3]
The following is a GGA-PBE calculation of a relaxed structure of UPd2S4, from Alexandria.

Results
offset from the most stable computed form: 19 meV per atom
energy: -6.20 eV per atom
SG: No. 24
raw formation energy: -0.746 eV/atom
theoretical density: 7.667 g/cm3

Cell: 6.9307 6.9307 6.9307 Å, 119.01 104.94 104.91°
Last column: nearest neighbours and their distance in Å.
Sites, in units of the cell vectors:
U 0.2500 0.3744 0.1244  8 S 2.64-2.91
U 0.7500 0.1256 0.3756  8 S 2.64-2.91
Pd 0.2074 0.7500 0.9574  6 S 2.47-2.62
Pd 0.2926 0.2500 0.5426  6 S 2.47-2.62
Pd 0.7074 0.9574 0.7500  6 S 2.48-2.63
Pd 0.7926 0.5426 0.2500  6 S 2.48-2.63
S 0.0114 0.9992 0.5921  3 Pd 2.47-2.63, 1 U 2.64
S 0.0933 0.5121 0.5010  3 Pd 2.48-2.62, 1 U 2.64
S 0.4067 0.9077 0.4189  3 Pd 2.48-2.62, 1 U 2.64
S 0.4886 0.0806 0.9877  3 Pd 2.47-2.63, 1 U 2.64
S 0.5112 0.5923 0.9990  3 Pd 2.48-2.62, 1 U 2.64
S 0.5929 0.5008 0.5123  3 Pd 2.47-2.63, 1 U 2.64
S 0.9071 0.4194 0.9079  3 Pd 2.47-2.63, 1 U 2.64
S 0.9888 0.9879 0.0811  3 Pd 2.48-2.62, 1 U 2.64

[4]
The following is a GGA-PBE calculation of a relaxed structure of Ba8Sn3H2, from Alexandria.

Results
energy: -3.04 eV per atom
SG: No. 166
theoretical density: 4.576 g/cm3

Cell: 10.9292 10.9292 10.9292 Å, 42.00 42.00 42.00°
Last column: nearest neighbours and their distance in Å.
Sites, in units of the cell vectors:
Ba 0.1839 0.1839 0.1839  1 H 2.61
Ba 0.2343 0.2343 0.7148  1 H 2.58
Ba 0.2343 0.7148 0.2343  1 H 2.58
Ba 0.2852 0.7657 0.7657  1 H 2.58
Ba 0.7148 0.2343 0.2343  1 H 2.58
Ba 0.7657 0.2852 0.7657  1 H 2.58
Ba 0.7657 0.7657 0.2852  1 H 2.58
Ba 0.8161 0.8161 0.8161  1 H 2.61
Sn 0.2964 0.2964 0.2964  4 Ba 3.36-3.64
Sn 0.5000 0.5000 0.5000  6 Ba 3.83
Sn 0.7036 0.7036 0.7036  4 Ba 3.36-3.64
H 0.0966 0.0966 0.0966  4 Ba 2.58-2.61
H 0.9034 0.9034 0.9034  4 Ba 2.58-2.61

[5]
The following is a GGA-PBE calculation of a relaxed structure of YTh5Se6, from Alexandria.

Results
energy: -6.94 eV per atom
SG: No. 12
raw formation energy: -1.572 eV/atom
theoretical density: 9.195 g/cm3

Cell: 7.2956 7.2956 7.1835 Å, 99.76 99.76 120.10°
Last column: nearest neighbours and their distance in Å.
Sites, in units of the cell vectors:
Y 0.0000 0.0000 0.0000  6 Se 2.88-2.91
Th 0.1718 0.8282 0.5000  6 Se 2.96-3.00
Th 0.3340 0.6660 0.0000  6 Se 2.96-2.98
Th 0.5000 0.5000 0.5000  6 Se 2.97-3.01
Th 0.6660 0.3340 0.0000  6 Se 2.96-2.98
Th 0.8282 0.1718 0.5000  6 Se 2.96-3.00
Se 0.0803 0.4048 0.2425  1 Y 2.88, 5 Th 2.96-3.00
Se 0.2409 0.2409 0.7497  1 Y 2.91, 5 Th 2.98-3.01
Se 0.4048 0.0803 0.2425  1 Y 2.88, 5 Th 2.96-3.00
Se 0.5952 0.9197 0.7575  1 Y 2.88, 5 Th 2.96-3.00
Se 0.7591 0.7591 0.2503  1 Y 2.91, 5 Th 2.98-3.01
Se 0.9197 0.5952 0.7575  1 Y 2.88, 5 Th 2.96-3.00

[6]
The following is a GGA-PBE calculation of a relaxed structure of Ac2La3Tl, from Alexandria.

Results
offset from the most stable computed form: 44 meV per atom
energy: -4.29 eV per atom
energy relative to the elements: -0.062 eV/atom
SG: No. 12
theoretical density: 7.976 g/cm3

Cell: 6.5711 6.5711 12.1805 Å, 95.19 95.19 120.07°
Last column: nearest neighbours and their distance in Å.
Sites, in units of the cell vectors:
Ac 0.0000 0.0000 0.0000  6 La 3.70, 6 Tl 3.78-3.80
Ac 0.1642 0.8358 0.5000  6 La 3.73-3.85, 6 Ac 3.74-3.82
Ac 0.5000 0.5000 0.5000  6 La 3.74-3.84, 6 Ac 3.78-3.82
Ac 0.8358 0.1642 0.5000  6 La 3.73-3.85, 6 Ac 3.74-3.82
La 0.0797 0.4333 0.2412  2 Tl 3.58-3.59, 4 La 3.67-3.69, 4 Ac 3.70-3.84
La 0.2766 0.2766 0.7614  2 Tl 3.57, 4 La 3.67-3.69, 4 Ac 3.70-3.85
La 0.4333 0.0797 0.2412  2 Tl 3.58-3.59, 4 La 3.67-3.69, 4 Ac 3.70-3.84
La 0.5667 0.9203 0.7588  2 Tl 3.58-3.59, 4 La 3.67-3.69, 4 Ac 3.70-3.84
La 0.7234 0.7234 0.2386  2 Tl 3.57, 4 La 3.67-3.69, 4 Ac 3.70-3.85
La 0.9203 0.5667 0.7588  2 Tl 3.58-3.59, 4 La 3.67-3.69, 4 Ac 3.70-3.84
Tl 0.3317 0.6683 0.0000  6 La 3.57-3.59, 3 Tl 3.77-3.83, 3 Ac 3.78-3.80
Tl 0.6683 0.3317 0.0000  6 La 3.57-3.59, 3 Tl 3.77-3.83, 3 Ac 3.78-3.80

Repeat the first record exactly.
The following is a GGA-PBE calculation of a relaxed structure of Li5TlCd, from Alexandria.

Results
offset from the most stable computed form: 19 meV per atom
energy: -1.95 eV per atom
energy relative to the elements: -0.110 eV/atom
SG: No. 123
theoretical density: 4.036 g/cm3

Cell: 4.8351 4.8351 6.1858 Å, 90.00 90.00 90.00°
Last column: nearest neighbours and their distance in Å.
Sites, in units of the cell vectors:
Li 0.0000 0.0000 0.0000  8 Li 2.89, 2 Cd 3.09
Li 0.0000 0.5000 0.2566  2 Cd 2.85, 2 Tl 2.89, 4 Li 2.89-3.17
Li 0.0000 0.5000 0.7434  2 Cd 2.85, 2 Tl 2.89, 4 Li 2.89-3.17
Li 0.5000 0.0000 0.2566  2 Cd 2.85, 2 Tl 2.89, 4 Li 2.89-3.17
Li 0.5000 0.0000 0.7434  2 Cd 2.85, 2 Tl 2.89, 4 Li 2.89-3.17
Tl 0.5000 0.5000 0.0000  8 Li 2.89
Cd 0.0000 0.0000 0.5000  10 Li 2.85-3.09

> Which value of energy does entry 1 give?

-1.95 eV per atom

Repeat the first record exactly.
The following is a GGA-PBE calculation of a relaxed structure of Li5TlCd, from Alexandria.

Results
offset from the most stable computed form: 19 meV per atom
energy: -1.95 eV per atom
energy relative to the elements: -0.110 eV/atom
SG: No. 123
theoretical density: 4.036 g/cm3

Cell: 4.8351 4.8351 6.1858 Å, 90.00 90.00 90.00°
Last column: nearest neighbours and their distance in Å.
Sites, in units of the cell vectors:
Li 0.0000 0.0000 0.0000  8 Li 2.89, 2 Cd 3.09
Li 0.0000 0.5000 0.2566  2 Cd 2.85, 2 Tl 2.89, 4 Li 2.89-3.17
Li 0.0000 0.5000 0.7434  2 Cd 2.85, 2 Tl 2.89, 4 Li 2.89-3.17
Li 0.5000 0.0000 0.2566  2 Cd 2.85, 2 Tl 2.89, 4 Li 2.89-3.17
Li 0.5000 0.0000 0.7434  2 Cd 2.85, 2 Tl 2.89, 4 Li 2.89-3.17
Tl 0.5000 0.5000 0.0000  8 Li 2.89
Cd 0.0000 0.0000 0.5000  10 Li 2.85-3.09